[1]
Here is a relaxed structure of TbCl2F from Alexandria. Energies are from PBE-GGA.

Output
- ΔE to the lowest computed polymorph (meV/atom) = 10
- M_tot (μB/cell) = 0.0
- ΔE_f (raw) (eV/atom) = -2.887

Structure (POSCAR):
```
TbCl2F
1.0
-0.507 -5.365 -2.777
4.081 -2.917 4.890
-8.542 -2.202 5.816
F Cl Tb
4 8 4
Cartesian
-5.516 -6.585 3.803
-5.765 -3.542 4.589
0.796 -6.941 3.341
0.547 -3.899 4.126
-3.452 -2.406 2.171
-5.698 -5.128 7.440
-4.486 -8.685 7.874
-2.698 -4.196 5.492
0.729 -5.356 0.489
-0.483 -1.799 0.055
-2.271 -6.287 2.437
-1.517 -8.077 5.758
1.912 -5.100 2.888
-4.146 -2.061 4.739
-6.881 -5.383 5.041
-0.823 -8.423 3.190
```

=====

[2]
Here is a relaxed structure of TbClF from Alexandria. Energies are from PBE-GGA.

Output
- ΔE to the lowest computed polymorph (meV/atom) = 0
- M_tot (μB/cell) = 0.0
- ΔE_f (raw) (eV/atom) = -2.658

Structure (POSCAR):
```
TbClF
1.0
-4.722 -0.161 -2.201
-1.027 -2.880 2.414
-3.964 8.048 7.914
Cl Tb F
4 4 4
Cartesian
-5.599 6.299 8.276
-3.473 2.280 4.386
-5.583 4.171 2.601
-4.771 -2.737 0.991
-5.398 1.256 2.345
-2.847 -1.713 3.031
-3.714 5.193 4.616
-7.468 5.277 6.261
-3.404 4.120 6.609
-3.484 0.026 1.691
-7.778 6.351 4.267
-4.761 -0.482 3.685
```

=====

[3]
Here is a relaxed structure of TbCl2F from Alexandria. Energies are from PBE-GGA.

Output
- ΔE to the lowest computed polymorph (meV/atom) = 6
- M_tot (μB/cell) = 0.0
- ΔE_f (raw) (eV/atom) = -2.890

Structure (POSCAR):
```
TbCl2F
1.0
5.346 -0.041 -0.025
2.102 4.915 -0.025
1.887 1.235 6.431
Cl Tb F
4 2 2
Cartesian
5.966 3.649 2.467
6.675 4.624 5.683
2.659 1.485 0.698
3.369 2.460 3.914
3.328 4.072 1.582
6.007 2.037 4.798
0.000 0.000 0.000
0.943 0.617 3.216
```

=====

[4]
Here is a relaxed structure of Tc3ClF from Alexandria. Energies are from PBE-GGA.

Output
- ΔE to the lowest computed polymorph (meV/atom) = 0
- M_tot (μB/cell) = 3.0
- ΔE_f (raw) (eV/atom) = 1.328

Structure (POSCAR):
```
Tc3ClF
1.0
-2.650 1.545 3.134
-3.399 -2.054 -1.861
0.812 -3.554 2.439
Tc Cl F
3 1 1
Cartesian
-1.699 -1.027 -0.931
-1.325 0.772 1.567
0.406 -1.777 1.219
0.000 0.000 0.000
-2.618 -2.031 1.856
```

=====

[5]
Here is a relaxed structure of Tc2ClF7 from Alexandria. Energies are from PBE-GGA.

Output
- M_tot (μB/cell) = 7.1
- ΔE_f (raw) (eV/atom) = -1.479

Structure (POSCAR):
```
Tc2ClF7
1.0
-2.255 -2.812 -1.966
5.173 -1.284 -4.097
-1.047 -3.221 5.808
F Tc Cl
7 2 1
Cartesian
3.172 -4.736 -1.151
3.174 -1.907 -0.913
0.643 -1.976 -2.199
1.228 -5.341 1.943
0.936 -3.659 -0.128
0.953 -2.599 2.624
-1.300 -2.581 0.896
-0.150 -3.997 1.601
2.022 -3.321 -1.857
0.000 0.000 0.000
```

=====

[6]
Here is a relaxed structure of TcClF4 from Alexandria. Energies are from PBE-GGA.

Output
- M_tot (μB/cell) = 7.9
- ΔE_f (raw) (eV/atom) = -1.425

Structure (POSCAR):
```
TcClF4
1.0
9.145 4.586 0.000
0.085 5.616 0.000
0.000 0.000 4.775
F Cl Tc
8 2 2
Cartesian
0.894 4.199 3.582
7.632 4.604 3.637
7.675 7.412 3.526
1.599 5.598 1.138
8.336 6.003 1.193
0.852 1.391 3.581
1.556 2.790 1.249
8.379 8.811 1.194
4.573 2.293 2.388
4.615 5.101 0.000
0.043 2.808 2.388
0.000 0.000 0.000
```

=====

[7]
Here is a relaxed structure of TcClF2 from Alexandria. Energies are from PBE-GGA.

Output
- ΔE to the lowest computed polymorph (meV/atom) = 451
- M_tot (μB/cell) = 4.0
- ΔE_f (raw) (eV/atom) = -0.323

Structure (POSCAR):
```
TcClF2
1.0
0.000 3.000 3.000
3.000 0.000 3.000
3.000 3.000 0.000
Tc Cl F
1 1 2
Cartesian
3.000 3.000 3.000
0.000 0.000 0.000
4.500 4.500 4.500
1.500 1.500 1.500
```

=====

[8]
Here is a relaxed structure of TcClF2 from Alexandria. Energies are from PBE-GGA.

Output
- ΔE to the lowest computed polymorph (meV/atom) = 0
- M_tot (μB/cell) = 0.0
- ΔE_f (raw) (eV/atom) = -0.774

Structure (POSCAR):
```
TcClF2
1.0
1.583 0.000 10.380
-0.792 1.371 10.380
-0.792 -1.371 10.380
F Cl Tc
2 1 1
Cartesian
0.000 0.000 1.867
0.000 0.000 29.272
0.000 0.000 15.570
0.000 0.000 0.000
```

=====

[9]
Here is a relaxed structure of TcCl2F2 from Alexandria. Energies are from PBE-GGA.

Output
- M_tot (μB/cell) = 4.0
- ΔE_f (raw) (eV/atom) = -1.307

Structure (POSCAR):
```
TcCl2F2
1.0
5.958 0.000 3.231
2.775 5.489 1.992
0.373 -0.662 6.420
F Cl Tc
4 4 2
Cartesian
2.523 0.808 6.216
5.330 0.808 7.738
3.776 4.018 3.905
6.583 4.018 5.427
2.325 1.123 2.821
6.781 3.704 8.822
3.741 3.807 7.318
5.364 1.019 4.325
4.383 0.000 2.377
1.575 0.000 0.854
```

=====

[10]
Here is a relaxed structure of TcClF from Alexandria. Energies are from PBE-GGA.

Output
- M_tot (μB/cell) = 0.0
- ΔE_f (raw) (eV/atom) = -0.766

Structure (POSCAR):
```
TcClF
1.0
3.899 -0.539 -2.765
-1.069 5.163 -2.515
-0.783 -0.068 6.978
Cl Tc F
2 2 2
Cartesian
-1.195 4.118 2.178
3.241 0.437 -0.480
-0.371 2.032 4.329
2.417 2.524 -2.631
-0.755 3.642 -1.774
-0.315 1.521 -0.741
```

=====

[11]
Here is a relaxed structure of Tc2ClF from Alexandria. Energies are from PBE-GGA.

Output
- ΔE to the lowest computed polymorph (meV/atom) = 0
- M_tot (μB/cell) = 0.0
- ΔE_f (raw) (eV/atom) = 0.644

Structure (POSCAR):
```
Tc2ClF
1.0
1.294 2.178 3.301
-2.759 2.018 2.373
-0.826 -1.360 3.845
Tc Cl F
2 1 1
Cartesian
-1.718 2.127 7.139
-0.573 0.709 2.380
-1.146 1.418 4.759
0.000 0.000 0.000
```

=====

[12]
Here is a relaxed structure of TcClF3 from Alexandria. Energies are from PBE-GGA.

Output
- ΔE to the lowest computed polymorph (meV/atom) = 1897
- M_tot (μB/cell) = 4.8
- ΔE_f (raw) (eV/atom) = 0.266

Structure (POSCAR):
```
TcClF3
1.0
4.419 0.000 0.000
0.000 4.419 0.000
0.000 0.000 4.419
Cl F Tc
1 3 1
Cartesian
0.000 0.000 0.000
0.000 0.000 2.209
2.209 0.000 0.000
0.000 2.209 0.000
2.209 2.209 2.209
```